Entry 1:
A relaxed structure of LiNd2TmTe4. Source: Alexandria via LeMat-Bulk, functional PBE.

Output
**DOS at the Fermi energy**: 3.300 states/eV/cell

a = 4.3699 Å, b = 7.5728 Å, c = 7.6642 Å
α = 109.06°, β = 90.00°, γ = 90.00°
Fractional coordinates of all 8 atoms:
Nd: 0.0000 0.5000 0.5000
Nd: 0.5000 0.0000 0.5000
Tm: 0.5000 0.5000 0.0000
Te: 0.0000 0.7483 0.2310
Te: 0.0000 0.2517 0.7690
Te: 0.5000 0.7595 0.7698
Te: 0.5000 0.2405 0.2302
Li: 0.0000 0.0000 0.0000



Entry 2:
A relaxed structure of LiNd2TmTe5. Source: Alexandria via LeMat-Bulk, functional PBE.

a = 4.3956 Å, b = 9.6181 Å, c = 13.2072 Å
α = 90.00°, β = 90.00°, γ = 103.21°
Fractional coordinates of all 18 atoms:
Nd: 0.1058 0.2117 0.6854
Nd: 0.1269 0.2537 0.3014
Nd: 0.8731 0.7463 0.8014
Nd: 0.8942 0.7883 0.1854
Te: 0.6900 0.3800 0.8469
Te: 0.7177 0.4355 0.1662
Te: 0.3601 0.7201 0.9980
Te: 0.3100 0.6200 0.3469
Te: 0.6399 0.2799 0.4980
Te: 0.5017 0.0035 0.2828
Te: 0.0481 0.0961 0.0711
Te: 0.9519 0.9039 0.5711
Te: 0.2823 0.5645 0.6662
Te: 0.4983 0.9965 0.7828
Li: 0.4403 0.8806 0.4628
Li: 0.5597 0.1194 0.9628
Tm: 0.8024 0.6048 0.5094
Tm: 0.1976 0.3952 0.0094



Entry 3:
A relaxed structure of LiNd3Tm3Te8. Source: Alexandria via LeMat-Bulk, functional PBE.

Output
**DOS at the Fermi energy**: 4.770 states/eV/cell

a = 8.7319 Å, b = 8.7319 Å, c = 8.7984 Å
α = 119.75°, β = 90.00°, γ = 120.00°
Fractional coordinates of all 15 atoms:
Te: 0.2483 0.9899 0.7382
Te: 0.2548 0.5096 0.2644
Te: 0.2482 0.4965 0.7381
Te: 0.7452 0.4904 0.7356
Te: 0.2584 0.0101 0.2618
Te: 0.7517 0.0101 0.2618
Te: 0.7518 0.5035 0.2619
Te: 0.7416 0.9899 0.7382
Nd: 0.0000 0.5000 0.0000
Nd: 0.0000 0.0000 0.0000
Nd: 0.5000 0.5000 0.0000
Tm: 0.5000 0.5000 0.5000
Tm: 0.0000 0.5000 0.5000
Tm: 0.5000 0.0000 0.5000
Li: 0.0000 0.0000 0.5000



Entry 4:
A relaxed structure of Li3NdU2Te6. Source: Alexandria via LeMat-Bulk, functional PBE.

Output
**DOS at the Fermi energy**: 12.825 states/eV/cell

a = 7.5558 Å, b = 7.5558 Å, c = 7.5652 Å
α = 99.59°, β = 99.59°, γ = 120.00°
Fractional coordinates of all 12 atoms:
Li: 0.5000 0.5000 0.5000
Li: 0.1639 0.8361 0.5000
Li: 0.8361 0.1639 0.5000
Te: 0.4268 0.0872 0.2613
Te: 0.5732 0.9128 0.7387
Te: 0.0872 0.4268 0.2613
Te: 0.2521 0.2521 0.7377
Te: 0.7479 0.7479 0.2623
Te: 0.9128 0.5732 0.7387
U: 0.3332 0.6668 0.0000
U: 0.6668 0.3332 0.0000
Nd: 0.0000 0.0000 0.0000



Entry 5:
A relaxed structure of Li2NdUTe4. Source: Alexandria via LeMat-Bulk, functional PBE.

Output
**DOS at the Fermi energy**: 8.821 states/eV/cell

a = 4.3918 Å, b = 7.6149 Å, c = 7.5541 Å
α = 109.64°, β = 90.00°, γ = 90.00°
Fractional coordinates of all 8 atoms:
Te: 0.5000 0.2489 0.2604
Te: 0.0000 0.2405 0.7368
Te: 0.5000 0.7511 0.7396
Te: 0.0000 0.7595 0.2632
U: 0.0000 0.0000 0.0000
Li: 0.5000 0.0000 0.5000
Li: 0.0000 0.5000 0.5000
Nd: 0.5000 0.5000 0.0000



Entry 6:
A relaxed structure of LiNd2UTe5. Source: Alexandria via LeMat-Bulk, functional PBE.

Output
**DOS at the Fermi energy**: 12.866 states/eV/cell

a = 4.4088 Å, b = 9.6422 Å, c = 13.2952 Å
α = 90.00°, β = 90.00°, γ = 103.22°
Fractional coordinates of all 18 atoms:
Nd: 0.1070 0.2140 0.6857
Nd: 0.8727 0.7453 0.8017
Nd: 0.8930 0.7860 0.1857
Nd: 0.1273 0.2547 0.3017
U: 0.7993 0.5985 0.5088
U: 0.2007 0.4015 0.0088
Te: 0.0487 0.0974 0.0716
Te: 0.5025 0.0049 0.2808
Te: 0.6340 0.2679 0.4997
Te: 0.7158 0.4317 0.1694
Te: 0.9513 0.9026 0.5716
Te: 0.3660 0.7321 0.9997
Te: 0.2842 0.5683 0.6694
Te: 0.3126 0.6251 0.3450
Te: 0.4975 0.9951 0.7808
Te: 0.6874 0.3749 0.8450
Li: 0.4427 0.8855 0.4611
Li: 0.5573 0.1145 0.9611



Number 1: total energy -4.8971 eV/atom, ΔE_f (raw) -1.34 eV/atom. Number 2: total energy -4.8292 eV/atom, ΔE_f (raw) -1.31 eV/atom. Number 3: total energy -4.9824 eV/atom, ΔE_f (raw) -1.33 eV/atom. Number 4: total energy -5.2568 eV/atom, ΔE_f (raw) -0.93 eV/atom. Number 5: total energy -5.0711 eV/atom, ΔE_f (raw) -1.01 eV/atom. Number 6: total energy -5.3524 eV/atom, ΔE_f (raw) -1.08 eV/atom.